Density functional theory data (GGA-PBEsol) for an optimized crystal structure of Zn9Fe4.

Unit cell a=7.565 b=7.565 c=7.565 alpha=109.47 beta=109.47 gamma=109.47
Each line ends with the local moment (μB).
Fractional coordinates of all 26 atoms:
Zn1 0.356 0.000 0.356  -0.03
Zn2 0.596 0.241 0.241  -0.03
Zn3 0.644 0.000 0.644  -0.03
Zn4 0.645 0.645 0.404  -0.03
Zn5 0.759 0.000 0.355  -0.03
Zn6 0.000 0.356 0.356  -0.03
Zn7 0.000 0.759 0.355  -0.03
Zn8 0.644 0.644 0.000  -0.03
Zn9 0.404 0.645 0.645  -0.03
Zn10 0.355 0.759 0.000  -0.03
Zn11 0.355 0.000 0.759  -0.03
Zn12 0.645 0.404 0.645  -0.03
Zn13 0.356 0.356 0.000  -0.03
Zn14 0.000 0.355 0.759  -0.03
Zn15 0.241 0.241 0.596  -0.03
Zn16 0.241 0.596 0.241  -0.03
Zn17 0.000 0.644 0.644  -0.03
Zn18 0.759 0.355 0.000  -0.03
Fe1 0.000 0.676 0.000  1.32
Fe2 0.000 0.188 0.000  1.26
Fe3 0.000 0.000 0.676  1.32
Fe4 0.188 0.000 0.000  1.26
Fe5 0.812 0.812 0.812  1.26
Fe6 0.000 0.000 0.188  1.26
Fe7 0.324 0.324 0.324  1.32
Fe8 0.676 0.000 0.000  1.32

M_tot (μB per formula unit): 4.8
Space group: I-43m, No. 217



Density functional theory data (GGA-PBEsol) for an optimized crystal structure of ZnFe.

Unit cell a=2.525 b=2.525 c=3.767 alpha=90.00 beta=90.00 gamma=89.89
Each line ends with the local moment (μB).
Fractional coordinates of all 2 atoms:
Zn1 0.500 0.500 0.500  -0.06
Fe1 0.000 0.000 0.000  2.35

M_tot (μB per formula unit): 2.3
Space group: P4/mmm, No. 123



Density functional theory data (GGA-PBEsol) for an optimized crystal structure of Zn2Fe.

Unit cell a=2.559 b=4.189 c=4.189 alpha=90.00 beta=90.00 gamma=90.00
Each line ends with the local moment (μB).
Fractional coordinates of all 3 atoms:
Zn1 0.000 0.500 0.000  -0.06
Zn2 0.000 0.000 0.500  -0.06
Fe1 0.500 0.000 0.000  1.81

M_tot (μB per formula unit): 1.6
Space group: P4/mmm, No. 123



Density functional theory data (GGA-PBEsol) for an optimized crystal structure of Zn4Fe3.

Unit cell a=2.562 b=2.562 c=12.937 alpha=95.68 beta=95.68 gamma=90.00
Each line ends with the local moment (μB).
Fractional coordinates of all 7 atoms:
Zn1 0.152 0.152 0.304  2.33
Zn2 0.572 0.572 0.143  0.33
Zn3 0.428 0.428 0.857  0.33
Zn4 0.848 0.848 0.696  0.00
Fe1 0.723 0.723 0.445  0.00
Fe2 0.277 0.277 0.555  -0.03
Fe3 0.000 0.000 0.000  -0.03

M_tot (μB per formula unit): 2.9
Space group: I4/mmm, No. 139



Number 1: formation enthalpy at 0 K -0.04 eV per atom, mass density 8.09 g/cm³, energy -3.89 eV per atom. Number 2: formation enthalpy at 0 K 0.01 eV per atom, mass density 8.38 g/cm³, energy -5.26 eV per atom. Number 3: formation enthalpy at 0 K 0.16 eV per atom, mass density 6.90 g/cm³, energy -3.88 eV per atom. Number 4: formation enthalpy at 0 K 0.01 eV per atom, mass density 8.48 g/cm³, energy -4.74 eV per atom.